[1]
First-principles (PBE-GGA) data for CaI after structural relaxation, as listed in the Alexandria database.

Cell lengths 4.3230, 4.3235, 11.3785 Å; angles 80.01, 89.91, 59.94 degrees
Element x y z (fractional)
I: 0.5225 0.6860 0.3442
I: 0.0439 0.6370 0.9732
Ca: 0.2405 0.2499 0.5145
Ca: 0.6604 0.4067 0.8029

Computed properties:
**Formation energy without anion corrections**: -210 kJ/mol of formula units
**Total moment**: 0.00 μB/cell

[2]
First-principles (PBE-GGA) data for CaI after structural relaxation, as listed in the Alexandria database.

Cell lengths 6.4335, 6.4335, 6.4335 Å; angles 90.00, 90.00, 90.00 degrees
Element x y z (fractional)
Ca: 0.7467 0.2533 0.0000
Ca: 0.2467 0.2467 0.5000
Ca: 0.7533 0.7533 0.5000
Ca: 0.2533 0.7467 0.0000
I: 0.7531 0.7531 0.0000
I: 0.2531 0.7469 0.5000
I: 0.7469 0.2531 0.5000
I: 0.2469 0.2469 0.0000

Computed properties:
**Formation energy without anion corrections**: -166 kJ/mol of formula units
**Total moment**: 0.00 μB/cell

[3]
First-principles (PBE-GGA) data for CaI after structural relaxation, as listed in the Alexandria database.

Cell lengths 10.2085, 10.2085, 10.2085 Å; angles 90.00, 90.00, 90.00 degrees
Element x y z (fractional)
Ca: 0.1254 0.1254 0.1254
Ca: 0.1254 0.8746 0.8746
Ca: 0.8746 0.1254 0.8746
Ca: 0.8746 0.8746 0.1254
Ca: 0.6254 0.6254 0.6254
Ca: 0.6254 0.3746 0.3746
Ca: 0.3746 0.6254 0.3746
Ca: 0.3746 0.3746 0.6254
I: 0.3038 0.3038 0.3038
I: 0.3038 0.6962 0.6962
I: 0.6962 0.3038 0.6962
I: 0.6962 0.6962 0.3038
I: 0.8038 0.8038 0.8038
I: 0.8038 0.1962 0.1962
I: 0.1962 0.8038 0.1962
I: 0.1962 0.1962 0.8038

Computed properties:
**Formation energy without anion corrections**: -140 kJ/mol of formula units
**Total moment**: 3.38 μB/cell

[4]
First-principles (PBE-GGA) data for Ca5I after structural relaxation, as listed in the Alexandria database.

Cell lengths 3.9224, 6.4839, 10.0446 Å; angles 108.83, 90.00, 90.00 degrees
Element x y z (fractional)
I: 0.0000 0.0000 0.0000
Ca: 0.5000 0.8593 0.7186
Ca: 0.0000 0.6866 0.3732
Ca: 0.5000 0.5000 0.0000
Ca: 0.0000 0.3134 0.6268
Ca: 0.5000 0.1407 0.2814

Computed properties:
**Formation energy without anion corrections**: -157 kJ/mol of formula units
**Total moment**: 0.00 μB/cell

[5]
First-principles (PBE-GGA) data for CaI after structural relaxation, as listed in the Alexandria database.

Cell lengths 8.8790, 8.8790, 8.8790 Å; angles 90.00, 90.00, 90.00 degrees
Element x y z (fractional)
Ca: 0.2500 0.0000 0.5000
Ca: 0.7500 0.0000 0.5000
Ca: 0.0000 0.5000 0.2500
Ca: 0.0000 0.5000 0.7500
Ca: 0.5000 0.2500 0.0000
Ca: 0.5000 0.7500 0.0000
I: 0.2500 0.5000 0.0000
I: 0.7500 0.5000 0.0000
I: 0.5000 0.0000 0.2500
I: 0.5000 0.0000 0.7500
I: 0.0000 0.2500 0.5000
I: 0.0000 0.7500 0.5000

Computed properties:
**Formation energy without anion corrections**: -119 kJ/mol of formula units
**Total moment**: 0.01 μB/cell

[6]
First-principles (PBE-GGA) data for CaI after structural relaxation, as listed in the Alexandria database.

Cell lengths 4.1345, 4.1345, 4.6100 Å; angles 90.00, 90.00, 120.00 degrees
Element x y z (fractional)
I: 0.0000 0.0000 0.0000
Ca: 0.3333 0.6667 0.5000

Computed properties:
**Formation energy without anion corrections**: -191 kJ/mol of formula units
**Total moment**: 0.83 μB/cell

[7]
First-principles (PBE-GGA) data for CaI2 after structural relaxation, as listed in the Alexandria database.

Cell lengths 4.5427, 4.5427, 7.6361 Å; angles 90.00, 90.00, 120.00 degrees
Element x y z (fractional)
I: 0.3333 0.6667 0.2313
I: 0.6667 0.3333 0.7687
Ca: 0.0000 0.0000 0.0000

Computed properties:
**Formation energy without anion corrections**: -470 kJ/mol of formula units
**Total moment**: 0.00 μB/cell

[8]
First-principles (PBE-GGA) data for CaI after structural relaxation, as listed in the Alexandria database.

Cell lengths 7.3805, 7.0159, 11.6010 Å; angles 90.00, 90.00, 90.00 degrees
Element x y z (fractional)
Ca: 0.3063 0.8893 0.0345
Ca: 0.8063 0.6107 0.9655
Ca: 0.6937 0.3893 0.4655
Ca: 0.1937 0.1107 0.5345
Ca: 0.3619 0.4728 0.7749
Ca: 0.8619 0.0272 0.2251
Ca: 0.6381 0.9728 0.7251
Ca: 0.1381 0.5272 0.2749
I: 0.6551 0.1505 0.9822
I: 0.1551 0.3495 0.0178
I: 0.3449 0.6505 0.5178
I: 0.8449 0.8495 0.4822
I: 0.0798 0.8461 0.8068
I: 0.5798 0.6539 0.1932
I: 0.9202 0.3461 0.6932
I: 0.4202 0.1539 0.3068

Computed properties:
**Formation energy without anion corrections**: -198 kJ/mol of formula units
**Total moment**: 0.00 μB/cell

Number 1: total energy -2.862 eV/atom. Number 2: total energy -2.639 eV/atom. Number 3: total energy -2.499 eV/atom. Number 4: total energy -2.198 eV/atom. Number 5: total energy -2.395 eV/atom. Number 6: total energy -2.765 eV/atom. Number 7: total energy -3.325 eV/atom. Number 8: total energy -2.802 eV/atom.